[1]
KTl3In3Ag4: optimized geometry, PBE.

Cell lengths 8.389, 8.389, 4.681 Å; angles 90.00, 90.00, 120.00 degrees
Fractional positions:
K (0.000, 0.000, 0.000)
Tl (0.387, 0.194, 0.500)
Tl (0.806, 0.194, 0.500)
Tl (0.806, 0.613, 0.500)
In (0.070, 0.535, 0.000)
In (0.465, 0.535, 0.000)
In (0.465, 0.930, 0.000)
Ag (0.216, 0.431, 0.500)
Ag (0.216, 0.784, 0.500)
Ag (0.569, 0.784, 0.500)
Ag (0.667, 0.333, 0.000)

Summary:
- Density: 8.312 g cm⁻³
- Raw total energy: -2.567 eV/atom

[2]
La2In3Ag: optimized geometry, PBE.

Cell lengths 3.809, 5.003, 8.659 Å; angles 90.00, 90.00, 90.00 degrees
Fractional positions:
La (0.000, 0.000, 0.000)
La (0.000, 0.500, 0.495)
In (0.500, 0.000, 0.655)
In (0.500, 0.500, 0.172)
In (0.500, 0.500, 0.833)
Ag (0.500, 0.000, 0.327)

Summary:
- Density: 7.347 g cm⁻³
- Raw total energy: -3.972 eV/atom

[3]
La2InAg: optimized geometry, PBE.

Cell lengths 5.325, 5.325, 5.325 Å; angles 60.00, 60.00, 60.00 degrees
Fractional positions:
La (0.000, 0.000, 0.000)
La (0.250, 0.250, 0.250)
In (0.750, 0.750, 0.750)
Ag (0.500, 0.500, 0.500)

Summary:
- Density: 7.784 g cm⁻³
- Raw total energy: -3.951 eV/atom

[4]
LiLaInAg: optimized geometry, PBE.

Cell lengths 5.042, 5.042, 7.142 Å; angles 90.00, 90.00, 90.00 degrees
Fractional positions:
Li (0.000, 0.000, 0.000)
Li (0.500, 0.500, 0.500)
La (0.000, 0.500, 0.750)
La (0.500, 0.000, 0.250)
In (0.000, 0.500, 0.249)
In (0.500, 0.000, 0.751)
Ag (0.000, 0.000, 0.500)
Ag (0.500, 0.500, 0.000)

Summary:
- Density: 6.741 g cm⁻³
- Raw total energy: -3.491 eV/atom

[5]
Li2LaScIn2Ag2: optimized geometry, PBE.

Cell lengths 4.897, 4.897, 6.945 Å; angles 90.00, 90.00, 90.00 degrees
Fractional positions:
Li (0.000, 0.500, 0.229)
Li (0.500, 0.000, 0.771)
La (0.000, 0.000, 0.500)
Sc (0.500, 0.500, 0.000)
In (0.000, 0.000, 0.000)
In (0.500, 0.500, 0.500)
Ag (0.000, 0.500, 0.774)
Ag (0.500, 0.000, 0.226)

Summary:
- Density: 6.412 g cm⁻³
- Raw total energy: -3.622 eV/atom

[6]
La2LuIn3AgPt2: optimized geometry, PBE.

Cell lengths 3.947, 7.887, 7.887 Å; angles 119.76, 90.00, 90.00 degrees
Fractional positions:
La (0.000, 0.207, 0.793)
La (0.000, 0.793, 0.207)
Lu (0.000, 0.621, 0.621)
In (0.500, 0.215, 0.470)
In (0.500, 0.470, 0.215)
In (0.500, 0.940, 0.940)
Ag (0.000, 0.211, 0.211)
Pt (0.500, 0.544, 0.862)
Pt (0.500, 0.862, 0.544)

Summary:
- Density: 10.092 g cm⁻³
- Raw total energy: -4.972 eV/atom

[7]
LaLu2In3AgPt2: optimized geometry, PBE.

Cell lengths 3.795, 7.891, 7.891 Å; angles 120.47, 90.00, 90.00 degrees
Fractional positions:
La (0.000, 0.000, 0.000)
Lu (0.000, 0.411, 0.822)
Lu (0.000, 0.822, 0.411)
In (0.500, 0.144, 0.417)
In (0.500, 0.417, 0.144)
In (0.500, 0.673, 0.673)
Ag (0.000, 0.413, 0.413)
Pt (0.500, 0.082, 0.737)
Pt (0.500, 0.737, 0.082)

Summary:
- Density: 10.855 g cm⁻³
- Raw total energy: -4.914 eV/atom

[8]
Na2LaYIn2Ag2: optimized geometry, PBE.

Cell lengths 5.090, 5.090, 7.190 Å; angles 90.00, 90.00, 90.00 degrees
Fractional positions:
Na (0.000, 0.500, 0.246)
Na (0.500, 0.000, 0.754)
La (0.000, 0.000, 0.500)
Y (0.500, 0.500, 0.000)
In (0.000, 0.000, 0.000)
In (0.500, 0.500, 0.500)
Ag (0.000, 0.500, 0.761)
Ag (0.500, 0.000, 0.239)

Summary:
- Density: 6.411 g cm⁻³
- Raw total energy: -3.367 eV/atom

[9]
LaNd2In3AgPd2: optimized geometry, PBE.

Cell lengths 4.043, 7.877, 7.877 Å; angles 119.80, 90.00, 90.00 degrees
Fractional positions:
La (0.000, 0.000, 0.000)
Nd (0.000, 0.416, 0.828)
Nd (0.000, 0.828, 0.416)
In (0.500, 0.155, 0.418)
In (0.500, 0.418, 0.155)
In (0.500, 0.671, 0.671)
Ag (0.000, 0.414, 0.414)
Pd (0.500, 0.082, 0.750)
Pd (0.500, 0.750, 0.082)

Summary:
- Density: 8.334 g cm⁻³
- Raw total energy: -4.666 eV/atom

[10]
LaPr2In3AgPd2: optimized geometry, PBE.

Cell lengths 4.063, 7.897, 7.897 Å; angles 119.80, 90.00, 90.00 degrees
Fractional positions:
La (0.000, 0.000, 0.000)
Pr (0.000, 0.415, 0.826)
Pr (0.000, 0.826, 0.415)
In (0.500, 0.154, 0.417)
In (0.500, 0.417, 0.154)
In (0.500, 0.671, 0.671)
Ag (0.000, 0.413, 0.413)
Pd (0.500, 0.080, 0.750)
Pd (0.500, 0.750, 0.080)

Summary:
- Density: 8.200 g cm⁻³
- Raw total energy: -4.664 eV/atom

[11]
La2TbIn3AgPd2: optimized geometry, PBE.

Cell lengths 4.018, 7.896, 7.896 Å; angles 120.05, 90.00, 90.00 degrees
Fractional positions:
La (0.000, 0.207, 0.793)
La (0.000, 0.793, 0.207)
Tb (0.000, 0.618, 0.618)
In (0.500, 0.214, 0.468)
In (0.500, 0.468, 0.214)
In (0.500, 0.941, 0.941)
Ag (0.000, 0.208, 0.208)
Pd (0.500, 0.542, 0.870)
Pd (0.500, 0.870, 0.542)

Summary:
- Density: 8.437 g cm⁻³
- Raw total energy: -4.678 eV/atom

[12]
LaTb2In3AgPd2: optimized geometry, PBE.

Cell lengths 3.880, 7.885, 7.885 Å; angles 119.95, 90.00, 90.00 degrees
Fractional positions:
La (0.000, 0.000, 0.000)
Tb (0.000, 0.411, 0.820)
Tb (0.000, 0.820, 0.411)
In (0.500, 0.145, 0.416)
In (0.500, 0.416, 0.145)
In (0.500, 0.671, 0.671)
Ag (0.000, 0.413, 0.413)
Pd (0.500, 0.079, 0.741)
Pd (0.500, 0.741, 0.079)

Summary:
- Density: 8.913 g cm⁻³
- Raw total energy: -4.640 eV/atom